# NaPuCdGa, optimized geometry, DFT GGA-PBE
data_NaPuCdGa
_chemical_formula_sum 'Na1 Pu1 Cd1 Ga1'
_symmetry_space_group_name_H-M 'P 1'
_symmetry_Int_Tables_number 1
_symmetry_space_group_name_Hall 'P 1'
_cell_length_a 5.160
_cell_length_b 5.160
_cell_length_c 5.160
_cell_angle_alpha 60.00
_cell_angle_beta 60.00
_cell_angle_gamma 60.00
loop_
_atom_site_label
_atom_site_type_symbol
_atom_site_fract_x
_atom_site_fract_y
_atom_site_fract_z
Ga1 Ga 0.750 0.750 0.750
Pu1 Pu 0.500 0.500 0.500
Cd1 Cd 0.250 0.250 0.250
Na1 Na 0.000 0.000 0.000
# Formation energy from the elements   0.017 eV per atom
# Uncorrected energy   -19.523 eV for the cell shown

---

# RbNa2CdGa, optimized geometry, DFT GGA-PBE
data_RbNa2CdGa
_chemical_formula_sum 'Rb1 Na2 Cd1 Ga1'
_symmetry_space_group_name_H-M 'P 1'
_symmetry_Int_Tables_number 1
_symmetry_space_group_name_Hall 'P 1'
_cell_length_a 5.855
_cell_length_b 5.855
_cell_length_c 5.470
_cell_angle_alpha 90.00
_cell_angle_beta 90.00
_cell_angle_gamma 90.00
loop_
_atom_site_label
_atom_site_type_symbol
_atom_site_fract_x
_atom_site_fract_y
_atom_site_fract_z
Ga1 Ga 0.000 0.000 0.000
Na1 Na 0.000 0.500 0.000
Na2 Na 0.500 0.000 0.000
Cd1 Cd 0.000 0.000 0.500
Rb1 Rb 0.500 0.500 0.500
# Formation energy from the elements   0.008 eV per atom
# Uncorrected energy   -7.509 eV for the cell shown

---

# RbNa2CdGa, optimized geometry, DFT GGA-PBE
data_RbNa2CdGa
_chemical_formula_sum 'Rb1 Na2 Cd1 Ga1'
_symmetry_space_group_name_H-M 'P 1'
_symmetry_Int_Tables_number 1
_symmetry_space_group_name_Hall 'P 1'
_cell_length_a 5.983
_cell_length_b 5.337
_cell_length_c 5.983
_cell_angle_alpha 90.00
_cell_angle_beta 90.00
_cell_angle_gamma 90.00
loop_
_atom_site_label
_atom_site_type_symbol
_atom_site_fract_x
_atom_site_fract_y
_atom_site_fract_z
Cd1 Cd 0.000 0.000 0.000
Na1 Na 0.000 0.000 0.500
Na2 Na 0.500 0.000 0.000
Rb1 Rb 0.500 0.500 0.500
Ga1 Ga 0.000 0.500 0.000
# Formation energy from the elements   0.063 eV per atom
# Uncorrected energy   -7.233 eV for the cell shown

---

# NaCdGaRh2, optimized geometry, DFT GGA-PBE
data_NaCdGaRh2
_chemical_formula_sum 'Na1 Cd1 Ga1 Rh2'
_symmetry_space_group_name_H-M 'P 1'
_symmetry_Int_Tables_number 1
_symmetry_space_group_name_Hall 'P 1'
_cell_length_a 4.967
_cell_length_b 4.886
_cell_length_c 4.967
_cell_angle_alpha 90.00
_cell_angle_beta 90.00
_cell_angle_gamma 90.00
loop_
_atom_site_label
_atom_site_type_symbol
_atom_site_fract_x
_atom_site_fract_y
_atom_site_fract_z
Rh1 Rh 0.000 0.000 0.500
Rh2 Rh 0.500 0.000 0.000
Cd1 Cd 0.000 0.000 0.000
Na1 Na 0.000 0.500 0.000
Ga1 Ga 0.500 0.500 0.500
# Formation energy from the elements   0.972 eV per atom
# Uncorrected energy   -15.102 eV for the cell shown

---

# NaCd2GaSe4, optimized geometry, DFT GGA-PBE
data_NaCd2GaSe4
_chemical_formula_sum 'Na1 Cd2 Ga1 Se4'
_symmetry_space_group_name_H-M 'P 1'
_symmetry_Int_Tables_number 1
_symmetry_space_group_name_Hall 'P 1'
_cell_length_a 6.383
_cell_length_b 6.383
_cell_length_c 7.219
_cell_angle_alpha 116.21
_cell_angle_beta 116.21
_cell_angle_gamma 90.06
loop_
_atom_site_label
_atom_site_type_symbol
_atom_site_fract_x
_atom_site_fract_y
_atom_site_fract_z
Se1 Se 0.603 0.603 0.758
Se2 Se 0.845 0.397 0.242
Se3 Se 0.155 0.155 0.758
Se4 Se 0.397 0.845 0.242
Cd1 Cd 0.750 0.250 0.500
Cd2 Cd 0.250 0.750 0.500
Na1 Na 0.000 0.000 0.001
Ga1 Ga 0.500 0.500 0.000
# Uncorrected formation energy   -568 kJ/mol of formula units
# Uncorrected energy   -26.004 eV for the cell shown

---

# NaCdGa2Si, optimized geometry, DFT GGA-PBE
data_NaCdGa2Si
_chemical_formula_sum 'Na1 Cd1 Ga2 Si1'
_symmetry_space_group_name_H-M 'P 1'
_symmetry_Int_Tables_number 1
_symmetry_space_group_name_Hall 'P 1'
_cell_length_a 5.087
_cell_length_b 5.219
_cell_length_c 5.087
_cell_angle_alpha 90.00
_cell_angle_beta 90.00
_cell_angle_gamma 90.00
loop_
_atom_site_label
_atom_site_type_symbol
_atom_site_fract_x
_atom_site_fract_y
_atom_site_fract_z
Si1 Si 0.500 0.500 0.500
Cd1 Cd 0.000 0.500 0.000
Na1 Na 0.000 0.000 0.000
Ga1 Ga 0.000 0.000 0.500
Ga2 Ga 0.500 0.000 0.000
# Uncorrected formation energy   464 kJ/mol of formula units
# Uncorrected energy   -8.903 eV for the cell shown

---

# Na2CdGa4Sn3, optimized geometry, DFT GGA-PBE
data_Na2CdGa4Sn3
_chemical_formula_sum 'Na2 Cd1 Ga4 Sn3'
_symmetry_space_group_name_H-M 'P 1'
_symmetry_Int_Tables_number 1
_symmetry_space_group_name_Hall 'P 1'
_cell_length_a 4.738
_cell_length_b 4.738
_cell_length_c 11.544
_cell_angle_alpha 90.00
_cell_angle_beta 90.00
_cell_angle_gamma 90.00
loop_
_atom_site_label
_atom_site_type_symbol
_atom_site_fract_x
_atom_site_fract_y
_atom_site_fract_z
Ga1 Ga 0.000 0.000 0.000
Ga2 Ga 0.000 0.500 0.365
Ga3 Ga 0.500 0.500 0.000
Ga4 Ga 0.500 0.000 0.635
Na1 Na 0.500 0.000 0.255
Na2 Na 0.000 0.500 0.745
Sn1 Sn 0.000 0.500 0.133
Sn2 Sn 0.500 0.000 0.867
Sn3 Sn 0.000 0.000 0.500
Cd1 Cd 0.500 0.500 0.500
# Formation energy from the elements   -0.083 eV per atom
# Uncorrected energy   -28.499 eV for the cell shown

---

# NaTbCdGa, optimized geometry, DFT GGA-PBE
data_NaTbCdGa
_chemical_formula_sum 'Na1 Tb1 Cd1 Ga1'
_symmetry_space_group_name_H-M 'P 1'
_symmetry_Int_Tables_number 1
_symmetry_space_group_name_Hall 'P 1'
_cell_length_a 5.117
_cell_length_b 5.117
_cell_length_c 5.117
_cell_angle_alpha 60.00
_cell_angle_beta 60.00
_cell_angle_gamma 60.00
loop_
_atom_site_label
_atom_site_type_symbol
_atom_site_fract_x
_atom_site_fract_y
_atom_site_fract_z
Na1 Na 0.250 0.250 0.250
Cd1 Cd 0.500 0.500 0.500
Tb1 Tb 0.750 0.750 0.750
Ga1 Ga 0.000 0.000 0.000
# Formation energy from the elements   -0.228 eV per atom
# Uncorrected energy   -10.804 eV for the cell shown

---

# NaCd2GaTe, optimized geometry, DFT GGA-PBE
data_NaCd2GaTe
_chemical_formula_sum 'Na1 Cd2 Ga1 Te1'
_symmetry_space_group_name_H-M 'P 1'
_symmetry_Int_Tables_number 1
_symmetry_space_group_name_Hall 'P 1'
_cell_length_a 5.766
_cell_length_b 5.597
_cell_length_c 5.766
_cell_angle_alpha 90.00
_cell_angle_beta 90.00
_cell_angle_gamma 90.00
loop_
_atom_site_label
_atom_site_type_symbol
_atom_site_fract_x
_atom_site_fract_y
_atom_site_fract_z
Cd1 Cd 0.000 0.000 0.500
Cd2 Cd 0.500 0.000 0.000
Ga1 Ga 0.500 0.500 0.500
Te1 Te 0.000 0.000 0.000
Na1 Na 0.000 0.500 0.000
# Uncorrected formation energy   126 kJ/mol of formula units
# Uncorrected energy   -8.010 eV for the cell shown

---

# NaTlCdGa, optimized geometry, DFT GGA-PBE
data_NaTlCdGa
_chemical_formula_sum 'Na1 Tl1 Cd1 Ga1'
_symmetry_space_group_name_H-M 'P 1'
_symmetry_Int_Tables_number 1
_symmetry_space_group_name_Hall 'P 1'
_cell_length_a 5.155
_cell_length_b 5.155
_cell_length_c 5.155
_cell_angle_alpha 60.00
_cell_angle_beta 60.00
_cell_angle_gamma 60.00
loop_
_atom_site_label
_atom_site_type_symbol
_atom_site_fract_x
_atom_site_fract_y
_atom_site_fract_z
Cd1 Cd 0.750 0.750 0.750
Ga1 Ga 0.000 0.000 0.000
Tl1 Tl 0.250 0.250 0.250
Na1 Na 0.500 0.500 0.500
# Formation energy from the elements   -0.014 eV per atom
# Uncorrected energy   -7.682 eV for the cell shown

---

# NaTmCdGa, optimized geometry, DFT GGA-PBE
data_NaTmCdGa
_chemical_formula_sum 'Na1 Tm1 Cd1 Ga1'
_symmetry_space_group_name_H-M 'P 1'
_symmetry_Int_Tables_number 1
_symmetry_space_group_name_Hall 'P 1'
_cell_length_a 5.069
_cell_length_b 5.069
_cell_length_c 5.069
_cell_angle_alpha 60.00
_cell_angle_beta 60.00
_cell_angle_gamma 60.00
loop_
_atom_site_label
_atom_site_type_symbol
_atom_site_fract_x
_atom_site_fract_y
_atom_site_fract_z
Ga1 Ga 0.250 0.250 0.250
Tm1 Tm 0.500 0.500 0.500
Na1 Na 0.000 0.000 0.000
Cd1 Cd 0.750 0.750 0.750
# Formation energy from the elements   -0.197 eV per atom
# Uncorrected energy   -10.519 eV for the cell shown

---

# NaVCdGa2, optimized geometry, DFT GGA-PBE
data_NaVCdGa2
_chemical_formula_sum 'Na1 V1 Cd1 Ga2'
_symmetry_space_group_name_H-M 'P 1'
_symmetry_Int_Tables_number 1
_symmetry_space_group_name_Hall 'P 1'
_cell_length_a 4.988
_cell_length_b 5.524
_cell_length_c 4.988
_cell_angle_alpha 90.00
_cell_angle_beta 90.00
_cell_angle_gamma 90.00
loop_
_atom_site_label
_atom_site_type_symbol
_atom_site_fract_x
_atom_site_fract_y
_atom_site_fract_z
Na1 Na 0.000 0.500 0.000
Ga1 Ga 0.000 0.000 0.500
Ga2 Ga 0.500 0.000 0.000
Cd1 Cd 0.500 0.500 0.500
V1 V 0.000 0.000 0.000
# Formation energy from the elements   0.599 eV per atom
# Uncorrected energy   -14.412 eV for the cell shown